Entry 1:
Below is a relaxed structure of La3Ge4Rh4, with properties calculated at the GGA-PBEsol level. Values from VASP.

Quantum ESPRESSO input file:
```
&SYSTEM
  ibrav = 0, nat = 11, ntyp = 3
/
ATOMIC_SPECIES
Ge 72.64 Ge.upf
Rh 102.91 Rh.upf
La 138.91 La.upf
CELL_PARAMETERS angstrom
-2.469 -3.173 0.898
1.463 -2.088 -3.357
9.575 -2.419 8.324
ATOMIC_POSITIONS angstrom
Ge 8.180 -4.552 6.397
Ge 0.390 -3.128 -0.531
Ge 6.209 -4.092 2.605
Ge 2.361 -3.588 3.261
Rh 7.989 -5.083 3.997
Rh 4.539 -2.526 3.550
Rh 4.030 -5.154 2.316
Rh 0.581 -2.597 1.869
La 5.221 -5.179 5.497
La 3.349 -2.501 0.369
La 0.000 0.000 0.000
```

* space-group type: Immm, No. 71

Entry 2:
Below is a relaxed structure of Mo2PdBrO, with properties calculated at the GGA-PBEsol level. Values from VASP.

Quantum ESPRESSO input file:
```
&SYSTEM
  ibrav = 0, nat = 5, ntyp = 4
/
ATOMIC_SPECIES
O 16.00 O.upf
Mo 95.94 Mo.upf
Br 79.90 Br.upf
Pd 106.42 Pd.upf
CELL_PARAMETERS angstrom
4.703 0.000 0.000
0.000 5.017 0.000
0.000 0.000 5.017
ATOMIC_POSITIONS angstrom
O 2.351 2.509 2.509
Mo 0.000 0.000 2.509
Mo 0.000 2.509 0.000
Br 2.351 0.000 0.000
Pd 0.000 0.000 0.000
```

* space-group type: P4/mmm, No. 123
* energy relative to the elements, uncorrected: 2168 meV per atom

Total magnetization values, unit μB/f.u., following the record order: 0.0; 6.8.
Calculated total energy values, unit eV/atom, following the record order: -7.14; -5.16.